! Sm3Y4Tl (PBE-GGA, optimized geometry); values from VASP
&SYSTEM
  ibrav = 0, nat = 8, ntyp = 3
/
ATOMIC_SPECIES
Sm 150.36 Sm.upf
Y 88.91 Y.upf
Tl 204.38 Tl.upf
CELL_PARAMETERS angstrom
3.626 0.000 0.000
0.000 3.626 0.000
0.000 0.000 19.371
ATOMIC_POSITIONS crystal
Sm 0.000 0.000 0.000
Sm 0.000 0.000 0.262
Sm 0.000 0.000 0.738
Y 0.500 0.500 0.130
Y 0.500 0.500 0.392
Y 0.500 0.500 0.608
Y 0.500 0.500 0.870
Tl 0.000 0.000 0.500
! total magnetization = 0.00 μB/atom
! formation energy = -0.086 eV/atom